VASP calculation (GGA-PBE) on a relaxed Fe2CuP crystal.

Cell lengths 3.465, 3.465, 16.839 Å; angles 90.00, 90.00, 90.00 degrees
Space group I-42d (No. 122)
Unique sites:
Fe 0.231 0.250 0.125
Cu 0.000 0.000 0.500
P 0.000 0.000 0.000

Calculated values
The calculation puts the volume at 202.2 Å³ per cell. The formation energy from the elements comes out at 0.257 eV/atom. Its final energy is -6.35 eV per atom.


VASP calculation (GGA-PBE) on a relaxed Tb3Pm4Dy4 crystal.

Cell lengths 3.526, 5.671, 18.215 Å; angles 98.93, 95.55, 90.01 degrees
Space group P-1 (No. 2)
Unique sites:
Tb 0.000 0.000 0.000
Tb 0.135 0.636 0.272
Pm 0.267 0.267 0.535
Pm 0.410 0.909 0.819
Dy 0.320 0.819 0.639
Dy 0.455 0.454 0.909

Calculated values
The calculation puts the volume at 358.1 Å³ per cell. The formation energy from the elements comes out at 0.059 eV/atom. Its final energy is -4.60 eV per atom.


VASP calculation (GGA-PBE) on a relaxed PaAl2Sb crystal.

Cell lengths 4.376, 4.376, 4.500 Å; angles 90.00, 90.00, 90.00 degrees
Space group P4/mmm (No. 123)
Unique sites:
Pa 0.000 0.000 0.000
Al 0.000 0.500 0.500
Sb 0.500 0.500 0.000

Calculated values
The calculation puts the volume at 86.2 Å³ per cell. As for the energy relative to the elements, uncorrected: -0.320 eV per atom. Its final energy is -5.60 eV per atom.